An optimized crystal structure of Sc2TaAlN, computed with GGA-PBE.

Summary:
SG ... P4/mmm (123)
M_tot ... 0.0 Bohr magnetons per cell
Calculated total energy ... -8.16 eV/atom

Structure (extended XYZ):
```
5
Lattice="4.449 0.000 0.000 0.000 4.449 0.000 0.000 0.000 4.171" Properties=species:S:1:pos:R:3 pbc="T T T"
Sc 0.000 2.224 0.000
Sc 2.224 0.000 0.000
Ta 0.000 0.000 2.085
Al 2.224 2.224 2.085
N 0.000 0.000 0.000
```